Entry 1:
The following is a DFT calculation (PBE) of a geometry-optimized Pr2PCl structure.

Properties
- formation energy (no corrections) (eV per formula unit) = -6.36

Lattice parameters (Å, degrees): 4.0862 4.0862 22.1177 90.00 90.00 120.00
Space group R3m (No. 160, hexagonal axes)
One atom of each set of equivalent atoms:
Pr 0.0000 0.0000 0.0000
Pr 0.0000 0.0000 0.1916
P 0.0000 0.0000 0.5948
Cl 0.0000 0.0000 0.7638

Entry 2:
The following is a DFT calculation (PBE) of a geometry-optimized Pr6P5Cl structure.

Properties
- formation energy (no corrections) (eV per formula unit) = -19.28

Lattice parameters (Å, degrees): 7.2894 12.6071 7.2638 90.00 109.54 90.00
Space group C2/m (No. 12)
One atom of each set of equivalent atoms:
Pr 0.2386 0.0000 0.2589
Pr 0.2403 0.1739 0.7430
P 0.0000 0.0000 0.5000
P 0.0000 0.1671 0.0000
P 0.0000 0.3362 0.5000
Cl 0.0000 0.5000 0.0000

Entry 3:
The following is a DFT calculation (PBE) of a geometry-optimized Pr3PCl3 structure.

Properties
- formation energy (no corrections) (eV per formula unit) = -10.62

Lattice parameters (Å, degrees): 10.9134 12.5937 7.6006 90.00 134.10 90.00
Space group C2/m (No. 12)
One atom of each set of equivalent atoms:
Pr 0.9997 0.0000 0.2321
Pr 0.9999 0.3631 0.2668
P 0.2065 0.5000 0.7063
Cl 0.0000 0.1868 0.5000
Cl 0.0000 0.2004 0.0000
Cl 0.1944 0.5000 0.1941

- Which value of formation energy (no corrections) does entry 3 give?
  -10.62 eV per formula unit

- The lowest formation energy (no corrections) belongs to which entry?
  Pr6P5Cl